# NdTa2Ga2 (PBE, relaxed)
data_NdTa2Ga2
_symmetry_space_group_name_H-M 'P 1'
_symmetry_Int_Tables_number 1
_symmetry_space_group_name_Hall 'P 1'
_cell_length_a 7.5937
_cell_length_b 7.5937
_cell_length_c 3.3730
_cell_angle_alpha 90.00
_cell_angle_beta 90.00
_cell_angle_gamma 90.00
loop_
_atom_site_label
_atom_site_type_symbol
_atom_site_fract_x
_atom_site_fract_y
_atom_site_fract_z
Nd1 Nd 0.0000 0.0000 0.0000
Nd2 Nd 0.5000 0.5000 0.0000
Ta1 Ta 0.1719 0.3281 0.5000
Ta2 Ta 0.3281 0.8281 0.5000
Ta3 Ta 0.6719 0.1719 0.5000
Ta4 Ta 0.8281 0.6719 0.5000
Ga1 Ga 0.1207 0.6207 0.0000
Ga2 Ga 0.3793 0.1207 0.0000
Ga3 Ga 0.6207 0.8793 0.0000
Ga4 Ga 0.8793 0.3793 0.0000
# Space group = P4/mbm, No. 127
# E_tot = -6.9135 eV per atom
# Volume = 19.5 Å³/atom


# K2AlCuBr6 (PBE, relaxed)
data_K2AlCuBr6
_symmetry_space_group_name_H-M 'P 1'
_symmetry_Int_Tables_number 1
_symmetry_space_group_name_Hall 'P 1'
_cell_length_a 7.3765
_cell_length_b 7.3765
_cell_length_c 7.3765
_cell_angle_alpha 60.00
_cell_angle_beta 60.00
_cell_angle_gamma 60.00
loop_
_atom_site_label
_atom_site_type_symbol
_atom_site_fract_x
_atom_site_fract_y
_atom_site_fract_z
K1 K 0.2500 0.2500 0.2500
K2 K 0.7500 0.7500 0.7500
Al1 Al 0.0000 0.0000 0.0000
Cu1 Cu 0.5000 0.5000 0.5000
Br1 Br 0.2438 0.2438 0.7562
Br2 Br 0.2438 0.7562 0.2438
Br3 Br 0.2438 0.7562 0.7562
Br4 Br 0.7562 0.2438 0.2438
Br5 Br 0.7562 0.2438 0.7562
Br6 Br 0.7562 0.7562 0.2438
# Space group = Fm-3m, No. 225
# E_tot = -3.0789 eV per atom
# Volume = 28.4 Å³/atom